[1]
Entry from Alexandria via LeMat-Bulk: a relaxed structure of SrCe2MgAu4 (GGA-PBE).

The space group is R-3m (No. 166, hexagonal axes) and the conventional cell measures 5.1408, 5.1408 and 25.8225 Å, with angles of 90.00, 90.00 and 120.00 degrees. The distinct sites, in fractional coordinates, are Sr at (0.0000, 0.0000, 0.0000), Ce at (0.0000, 0.0000, 0.2423), Mg at (0.0000, 0.0000, 0.5000), Au at (0.0000, 0.0000, 0.1250) and Au at (0.0000, 0.0000, 0.3879).

The value obtained for the energy is -4.17 eV per atom. Its crystal system is trigonal. The formation energy comes out at -637 meV per atom.

---

[2]
Entry from Alexandria via LeMat-Bulk: a relaxed structure of Nd5Sn2Ru (GGA-PBE).

The space group is Cmcm (No. 63) and the conventional cell measures 5.978, 10.300 and 15.943 Å, with angles of 90.00, 90.00 and 90.00 degrees. The distinct sites, in fractional coordinates, are Nd at (0.000, 0.080, 0.118), Nd at (0.000, 0.250, 0.750), Nd at (0.000, 0.420, 0.118), Sn at (0.000, 0.250, 0.552) and Ru at (0.000, 0.249, 0.250).

The value obtained for the energy is -5.44 eV per atom. The value obtained for the energy above the most stable polymorph in this dataset is 0.254 eV per atom. Its crystal system is orthorhombic. The formation energy comes out at -299 meV per atom.

---

[3]
Entry from Alexandria via LeMat-Bulk: a relaxed structure of Pm7Nd2Er2 (GGA-PBE).

The space group is P-1 (No. 2) and the conventional cell measures 6.276, 6.300 and 9.601 Å, with angles of 89.78, 83.68 and 80.32 degrees. The distinct sites, in fractional coordinates, are Pm at (0.000, 0.000, 0.000), Pm at (0.093, 0.818, 0.634), Pm at (0.180, 0.635, 0.276), Pm at (0.453, 0.090, 0.185), Nd at (0.274, 0.455, 0.907) and Er at (0.365, 0.272, 0.544).

The value obtained for the energy is -4.70 eV per atom. The value obtained for the energy above the most stable polymorph in this dataset is 0.000 eV per atom. Its crystal system is triclinic. The formation energy comes out at 16 meV per atom.

---

[4]
Entry from Alexandria via LeMat-Bulk: a relaxed structure of K2ScIr (GGA-PBE).

The space group is Fm-3m (No. 225) and the conventional cell measures 7.572, 7.572 and 7.572 Å, with angles of 90.00, 90.00 and 90.00 degrees. The distinct sites, in fractional coordinates, are K at (0.250, 0.250, 0.250), Sc at (0.000, 0.000, 0.000) and Ir at (0.000, 0.000, 0.500).

The value obtained for the energy is -3.20 eV per atom. The value obtained for the energy above the most stable polymorph in this dataset is 1.130 eV per atom. Its crystal system is cubic. The formation energy comes out at 1145 meV per atom.

---

[5]
Entry from Alexandria via LeMat-Bulk: a relaxed structure of NpCdAgAu (GGA-PBE).

The space group is F-43m (No. 216) and the conventional cell measures 7.081, 7.081 and 7.081 Å, with angles of 90.00, 90.00 and 90.00 degrees. The distinct sites, in fractional coordinates, are Np at (0.000, 0.000, 0.000), Cd at (0.000, 0.000, 0.500), Ag at (0.250, 0.250, 0.250) and Au at (0.250, 0.250, 0.750).

The value obtained for the energy is -4.94 eV per atom. Its crystal system is cubic. The formation energy comes out at 52 meV per atom.

---

[6]
Entry from Alexandria via LeMat-Bulk: a relaxed structure of Pr4PuHg5 (GGA-PBE).

The space group is P4/mmm (No. 123) and the conventional cell measures 3.855, 3.855 and 19.113 Å, with angles of 90.00, 90.00 and 90.00 degrees. The distinct sites, in fractional coordinates, are Pr at (0.000, 0.000, 0.101), Pr at (0.000, 0.000, 0.304), Pu at (0.000, 0.000, 0.500), Hg at (0.500, 0.500, 0.000), Hg at (0.500, 0.500, 0.202) and Hg at (0.500, 0.500, 0.404).

The value obtained for the energy is -3.89 eV per atom. Its crystal system is tetragonal. The formation energy comes out at -396 meV per atom.